[1]
# AcTmCd3

An optimized crystal structure of AcTmCd3 (PBE, Alexandria via LeMat-Bulk).

Structure (POSCAR):
```
AcTmCd3
1.0
5.066 0.000 0.000
0.000 3.703 0.000
0.000 -1.851 14.982
Tm Cd Ac
2 6 2
Cartesian
3.799 0.000 6.433
1.266 1.851 8.549
3.799 1.851 3.821
1.266 0.000 11.161
1.266 0.000 14.240
1.266 1.851 5.463
3.799 0.000 9.520
3.799 1.851 0.743
3.799 1.851 12.667
1.266 0.000 2.315
```

## Properties
ΔH_f (0 K) = -285.0 meV/atom

=====

[2]
# AcTm5Cd6

An optimized crystal structure of AcTm5Cd6 (PBE, Alexandria via LeMat-Bulk).

Structure (POSCAR):
```
AcTm5Cd6
1.0
0.126 -3.953 -3.507
6.024 -2.994 3.591
-7.943 -0.780 4.578
Tm Cd Ac
5 6 1
Cartesian
-3.222 -2.815 3.057
3.012 -1.497 1.795
1.428 -4.912 1.605
-0.265 -4.361 4.905
-1.529 -3.367 -0.243
2.741 -3.680 4.246
-4.535 -4.047 0.416
-1.695 -5.459 2.108
1.728 -2.804 -0.761
4.422 -4.143 0.845
-0.099 -2.269 2.554
0.000 0.000 0.000
```

## Properties
ΔH_f (0 K) = -273.7 meV/atom

=====

ΔH_f (0 K) of number 1 (AcTmCd3)?
-285.0 meV/atom

=====

Repeat the first record exactly.
# AcTmCd3

An optimized crystal structure of AcTmCd3 (PBE, Alexandria via LeMat-Bulk).

Structure (POSCAR):
```
AcTmCd3
1.0
5.066 0.000 0.000
0.000 3.703 0.000
0.000 -1.851 14.982
Tm Cd Ac
2 6 2
Cartesian
3.799 0.000 6.433
1.266 1.851 8.549
3.799 1.851 3.821
1.266 0.000 11.161
1.266 0.000 14.240
1.266 1.851 5.463
3.799 0.000 9.520
3.799 1.851 0.743
3.799 1.851 12.667
1.266 0.000 2.315
```

## Properties
ΔH_f (0 K) = -285.0 meV/atom